Computed, not measured: a geometry-optimized MgTe2MoO8 structure at the PBE+U level of DFT.

Properties
magnetization = 0.000 μB/atom
V = 15.89 Å³ per atom
raw total energy = -5.812 eV/atom

Lattice parameters (Å, degrees): 6.3234 6.3234 5.5050 90.00 90.00 120.00
With the nearest neighbours (Å) after each atom.
Space group P-3m1 (No. 164)
One atom of each set of equivalent atoms:
1 Mg 0.0000 0.0000 0.0000 [1 per cell]  6 O 2.14
2 Te 0.3333 0.6667 0.2923 [2 per cell]  1 O 1.81
3 Mo 0.0000 0.0000 0.5000 [1 per cell]  6 O 1.95
4 O 0.1376 0.2753 0.2750 [6 per cell]  1 Mo 1.95, 1 Mg 2.14, 1 Te 2.15
5 O 0.3333 0.6667 0.6208 [2 per cell]  1 Te 1.81